# 1
## Sc2Ru2N (GGA-PBEsol)

Data for a geometry-optimized Sc2Ru2N structure.

Structure (extended XYZ):
```
5
Lattice="-4.4049 1.8067 0.9020 1.6732 -3.1679 3.2628 3.6541 3.1741 0.2334" Properties=species:S:1:pos:R:3 pbc="T T T"
Sc 0.9564 2.4919 1.4417
N 0.0000 0.0000 0.0000
Sc -0.0340 -0.6791 2.9565
Ru 3.7958 0.0044 2.4911
Ru 1.5315 0.0018 1.0051
```

M_tot in μB per cell: 0.00
Formation energy from raw total energies in meV per atom: 205
Mass density in Mg/m³: 6.0
Volume in A^3/atom: 16.99

---

# 2
## Ca2CoSeN (GGA-PBEsol)

Data for a geometry-optimized Ca2CoSeN structure.

Structure (extended XYZ):
```
5
Lattice="-3.5173 -0.1382 -2.2613 -1.1913 -4.0686 2.1016 -2.2685 2.4107 3.3811" Properties=species:S:1:pos:R:3 pbc="T T T"
Co -3.4885 -0.8981 1.6107
Se -1.7587 -0.0691 -1.1307
N 0.0000 0.0000 0.0000
Ca -1.1342 1.2053 1.6906
Ca -0.5956 -2.0343 1.0508
```

M_tot in μB per cell: 1.81
Formation energy from raw total energies in meV per atom: -30
Mass density in Mg/m³: 4.1
Volume in A^3/atom: 18.73

---

# 3
## CrGeBi3 (GGA-PBEsol)

Data for a geometry-optimized CrGeBi3 structure.

Structure (extended XYZ):
```
5
Lattice="-4.4252 -0.9932 -2.4293 0.3050 -4.9246 1.4579 -2.6067 1.1100 4.2946" Properties=species:S:1:pos:R:3 pbc="T T T"
Ge -3.3635 -2.4039 1.6616
Bi -1.3034 0.5550 2.1473
Bi -2.2126 -0.4966 -1.2146
Bi 0.1525 -2.4623 0.7290
Cr 0.0000 0.0000 0.0000
```

M_tot in μB per cell: 1.94
Mass density in Mg/m³: 9.2
Formation energy from the elements in kcal/mol of atoms: 14.79
Volume in A^3/atom: 27.24

---

# 4
## Li2CoSi (GGA-PBEsol)

Data for a geometry-optimized Li2CoSi structure.

Structure (extended XYZ):
```
4
Lattice="-1.0081 2.2321 0.0647 -0.0047 -0.0731 2.4490 7.5192 3.3928 0.1156" Properties=species:S:1:pos:R:3 pbc="T T T"
Si -0.5064 1.0795 1.2568
Li 1.8996 0.8571 0.0292
Co 3.2532 2.7759 1.3146
Li 5.6197 2.5356 0.0864
```

M_tot in μB per cell: 1.59
Formation energy from raw total energies in meV per atom: 53
Mass density in Mg/m³: 3.4
Volume in A^3/atom: 12.38

---

# 5
## LiOs2Pb (GGA-PBEsol)

Data for a geometry-optimized LiOs2Pb structure.

Structure (extended XYZ):
```
4
Lattice="4.4433 0.0000 0.0000 2.2217 3.8480 0.0000 2.2217 1.2827 3.6280" Properties=species:S:1:pos:R:3 pbc="T T T"
Pb 4.4433 2.5654 1.8140
Li 2.2217 1.2827 0.9070
Os 0.0000 0.0000 0.0000
Os 6.6650 3.8480 2.7210
```

M_tot in μB per cell: 0.06
Mass density in Mg/m³: 15.9
Formation energy from the elements in kcal/mol of atoms: 14.37
Volume in A^3/atom: 15.51

---

# 6
## MgGaHg3 (GGA-PBEsol)

Data for a geometry-optimized MgGaHg3 structure.

Structure (extended XYZ):
```
5
Lattice="5.1422 0.0000 0.0000 0.0000 5.1422 0.0000 0.0000 0.0000 5.1422" Properties=species:S:1:pos:R:3 pbc="T T T"
Hg 0.0000 0.0000 2.5711
Hg 2.5711 0.0000 0.0000
Ga 0.0000 0.0000 0.0000
Hg 0.0000 2.5711 0.0000
Mg 2.5711 2.5711 2.5711
```

M_tot in μB per cell: 0.00
Mass density in Mg/m³: 8.5
Formation energy from the elements in kcal/mol of atoms: 4.25
Volume in A^3/atom: 27.19

---

# 7
## YSc2MnAu (GGA-PBEsol)

Data for a geometry-optimized YSc2MnAu structure.

Structure (extended XYZ):
```
5
Lattice="4.5264 0.0000 0.0000 0.0000 5.0418 0.0000 0.0000 0.0000 5.0418" Properties=species:S:1:pos:R:3 pbc="T T T"
Y 0.0000 0.0000 0.0000
Mn 2.2632 0.0000 0.0000
Sc 0.0000 2.5209 0.0000
Sc 0.0000 0.0000 2.5209
Au 2.2632 2.5209 2.5209
```

M_tot in μB per cell: 3.10
Mass density in Mg/m³: 6.2
Formation energy from the elements in kcal/mol of atoms: 27.83
Volume in A^3/atom: 23.01

---

# 8
## MoAu2 (GGA-PBEsol)

Data for a geometry-optimized MoAu2 structure.

Structure (extended XYZ):
```
6
Lattice="-3.7077 -0.1324 -0.9359 -0.7795 -2.3859 3.4255 -1.3883 3.7986 4.9622" Properties=species:S:1:pos:R:3 pbc="T T T"
Au -3.7221 -1.6764 3.2501
Mo -4.4181 1.8029 5.5151
Mo -1.4574 -0.5226 1.9367
Au -3.6738 1.2234 2.6485
Au -2.2017 0.0568 4.8033
Au -2.1534 2.9567 4.2017
```

M_tot in μB per cell: 0.00
Mass density in Mg/m³: 16.6
Formation energy from the elements in kcal/mol of atoms: 3.88
Volume in A^3/atom: 16.36

---

# 9
## Ga2TeCl (GGA-PBEsol)

Data for a geometry-optimized Ga2TeCl structure.

Structure (extended XYZ):
```
4
Lattice="5.0190 0.0000 0.0000 2.5095 4.3466 0.0000 2.5095 1.4489 4.0980" Properties=species:S:1:pos:R:3 pbc="T T T"
Ga 2.5095 1.4489 1.0245
Ga 7.5285 4.3466 3.0735
Te 5.0190 2.8977 2.0490
Cl 0.0000 0.0000 0.0000
```

M_tot in μB per cell: 0.00
Formation energy from raw total energies in meV per atom: -272
Mass density in Mg/m³: 5.6
Volume in A^3/atom: 22.35

---

# 10
## AlFe2Sb (GGA-PBEsol)

Data for a geometry-optimized AlFe2Sb structure.

Structure (extended XYZ):
```
4
Lattice="-1.8356 1.6016 2.0320 -2.9129 0.0006 -2.6318 -0.6730 -4.8568 0.7438" Properties=species:S:1:pos:R:3 pbc="T T T"
Fe -1.9423 -1.8113 2.1493
Al -2.7348 -3.2591 0.0982
Sb -0.3046 -0.7767 0.3370
Fe -2.9735 -0.7267 0.3629
```

M_tot in μB per cell: 3.29
Formation energy from raw total energies in meV per atom: 32
Mass density in Mg/m³: 7.4
Volume in A^3/atom: 14.63

---

# 11
## NiRuSe2 (GGA-PBEsol)

Data for a geometry-optimized NiRuSe2 structure.

Structure (extended XYZ):
```
4
Lattice="3.0359 0.0000 0.0000 0.0000 3.0359 0.0000 0.0000 0.0000 6.1896" Properties=species:S:1:pos:R:3 pbc="T T T"
Se 0.0000 0.0000 4.6706
Se 0.0000 0.0000 1.5190
Ru 1.5179 1.5179 3.0948
Ni 1.5179 1.5179 0.0000
```

M_tot in μB per cell: 0.00
Formation energy from raw total energies in meV per atom: 118
Mass density in Mg/m³: 9.2
Volume in A^3/atom: 14.26

---

# 12
## YCrP2 (GGA-PBEsol)

Data for a geometry-optimized YCrP2 structure.

Structure (extended XYZ):
```
4
Lattice="3.7399 0.0000 0.0000 1.8699 3.2388 0.0000 1.8699 1.0796 5.6645" Properties=species:S:1:pos:R:3 pbc="T T T"
Y 0.0000 0.0000 0.0000
Cr 3.7399 2.1592 2.8322
P 5.6098 3.2388 3.9628
P 1.8699 1.0796 1.7017
```

M_tot in μB per cell: 2.65
Mass density in Mg/m³: 4.9
Formation energy from the elements in kcal/mol of atoms: -21.22
Volume in A^3/atom: 17.15

---

# 13
## LaNiHg3 (GGA-PBEsol)

Data for a geometry-optimized LaNiHg3 structure.

Structure (extended XYZ):
```
5
Lattice="-0.2752 5.5854 -1.7706 -1.7449 -1.7703 -5.3131 -5.5935 0.2774 1.7446" Properties=species:S:1:pos:R:3 pbc="T T T"
La 0.0000 0.0000 0.0000
Hg -0.1376 2.7927 -0.8853
Hg -0.8724 -0.8852 -2.6566
Hg -2.7968 0.1387 0.8723
Ni -3.8068 2.0463 -2.6696
```

M_tot in μB per cell: 0.48
Mass density in Mg/m³: 6.6
Formation energy from the elements in kcal/mol of atoms: 28.15
Volume in A^3/atom: 40.37

---

# 14
## CuAgCl2 (GGA-PBEsol)

Data for a geometry-optimized CuAgCl2 structure.

Structure (extended XYZ):
```
8
Lattice="5.7062 0.0000 0.0000 0.0000 5.7062 0.0000 -2.8531 -2.8531 5.2846" Properties=species:S:1:pos:R:3 pbc="T T T"
Ag 0.0000 0.0000 0.0000
Cl 1.4265 1.2003 3.9635
Cl 1.6527 4.2796 1.3212
Cl 4.0534 1.4265 1.3212
Cu 2.8531 2.8531 0.0000
Cl -1.4265 -1.2003 3.9635
Cu 2.8531 0.0000 2.6423
Ag 0.0000 2.8531 2.6423
```

M_tot in μB per cell: 0.00
Formation energy from raw total energies in meV per atom: -358
Mass density in Mg/m³: 4.7
Volume in A^3/atom: 21.51

---

# 15
## Li2V3CoO8 (GGA-PBEsol)

Data for a geometry-optimized Li2V3CoO8 structure.

Structure (extended XYZ):
```
28
Lattice="-5.2931 -0.6890 -2.1215 -2.0005 -0.8870 5.2828 -1.3202 7.9491 0.8365" Properties=species:S:1:pos:R:3 pbc="T T T"
Li -5.5059 1.9768 1.3456
O -5.7739 4.5948 4.7731
Li -4.1731 0.4380 -1.5045
V -7.5852 6.7664 1.3588
O -6.6994 6.7167 3.0762
V -6.4687 4.8072 2.9405
O -2.7613 -0.7054 3.3545
V -2.1594 1.6185 0.9422
V -3.1951 1.1532 3.6742
Co -5.9073 3.3310 -1.6766
O -3.4942 3.0342 3.9937
Co -3.6013 -0.7433 1.6073
O -4.7615 5.2812 2.1774
O -5.0680 3.3682 0.0710
Li -2.5191 6.7382 0.1832
O -6.1498 2.8938 2.9247
Li -3.1883 4.3087 2.6147
O -3.8171 1.1695 1.8423
V -3.2816 3.5840 -0.6402
O -2.4550 1.2096 5.4600
O -7.2525 4.8615 1.1629
O -1.8424 -0.2932 0.9262
O -5.8000 7.1094 0.7073
O -8.1240 4.3560 3.8429
O -4.9418 0.7920 4.4479
O -1.4664 1.4089 2.7732
V -5.5043 5.2280 0.3947
O -2.3902 3.5297 1.0749
```

M_tot in μB per cell: 8.04
Formation energy from raw total energies in meV per atom: -2116
Mass density in Mg/m³: 4.4
Volume in A^3/atom: 9.50

---

# 16
## MgAsPt2 (GGA-PBEsol)

Data for a geometry-optimized MgAsPt2 structure.

Structure (extended XYZ):
```
8
Lattice="-1.6935 -3.0550 1.9204 3.4401 -2.0073 -0.1596 1.4589 5.9341 6.5896" Properties=species:S:1:pos:R:3 pbc="T T T"
Pt 2.2432 1.2531 6.0400
As 2.8861 0.6978 3.6552
Mg 0.3193 0.1740 4.6952
Pt 1.2550 3.8513 5.1650
Mg 0.8733 -2.5311 0.8804
Pt 2.7680 -1.3675 2.1959
Pt 0.1446 -1.9933 3.3000
As 0.0000 0.0000 0.0000
```

M_tot in μB per cell: 0.00
Mass density in Mg/m³: 12.0
Formation energy from the elements in kcal/mol of atoms: -7.26
Volume in A^3/atom: 16.95

---

# 17
## ZnCr2Fe (GGA-PBEsol)

Data for a geometry-optimized ZnCr2Fe structure.

Structure (extended XYZ):
```
4
Lattice="-0.6908 -3.3532 0.2843 3.2573 -0.7391 -0.8035 0.9496 0.1212 3.7378" Properties=species:S:1:pos:R:3 pbc="T T T"
Fe 1.7581 -1.9856 1.6093
Zn 0.4748 0.0606 1.8689
Cr 1.6287 -0.3696 -0.4018
Cr -0.3454 -1.6766 0.1421
```

M_tot in μB per cell: 2.04
Mass density in Mg/m³: 8.2
Formation energy from the elements in kcal/mol of atoms: 5.21
Volume in A^3/atom: 11.38

---

# 18
## LaAl3Os (GGA-PBEsol)

Data for a geometry-optimized LaAl3Os structure.

Structure (extended XYZ):
```
5
Lattice="5.2135 0.0000 0.0000 0.0000 5.2135 0.0000 0.0000 0.0000 5.2135" Properties=species:S:1:pos:R:3 pbc="T T T"
Al 2.6068 0.0000 0.0000
Al 0.0000 0.0000 2.6068
Os 2.6068 2.6068 2.6068
Al 0.0000 2.6068 0.0000
La 0.0000 0.0000 0.0000
```

M_tot in μB per cell: 2.26
Mass density in Mg/m³: 4.8
Formation energy from the elements in kcal/mol of atoms: 57.38
Volume in A^3/atom: 28.34

---

# 19
## GeBRu3 (GGA-PBEsol)

Data for a geometry-optimized GeBRu3 structure.

Structure (extended XYZ):
```
5
Lattice="-0.9149 -0.0177 -3.9051 3.3047 -2.1405 -0.7646 -2.0807 -3.3920 0.5028" Properties=species:S:1:pos:R:3 pbc="T T T"
Ge 0.1546 -2.7751 -2.0834
Ru 1.6524 -1.0703 -0.3823
Ru -0.4575 -0.0088 -1.9526
B 0.0000 0.0000 0.0000
Ru -1.0403 -1.6960 0.2514
```

M_tot in μB per cell: 0.50
Mass density in Mg/m³: 10.0
Formation energy from the elements in kcal/mol of atoms: 2.38
Volume in A^3/atom: 12.91

---

# 20
## SiTeIr (GGA-PBEsol)

Data for a geometry-optimized SiTeIr structure.

Structure (extended XYZ):
```
3
Lattice="-1.8221 -2.3659 -0.2438 1.7346 -1.0990 -2.2984 3.6444 -1.4788 5.5241" Properties=species:S:1:pos:R:3 pbc="T T T"
Ir 0.8753 -0.7806 1.0338
Si 0.2606 -2.0039 -0.9116
Te 2.4211 -2.1593 2.8597
```

M_tot in μB per cell: 0.00
Formation energy from raw total energies in meV per atom: -178
Mass density in Mg/m³: 9.7
Volume in A^3/atom: 19.80

---

# 21
## Li2TePb (GGA-PBEsol)

Data for a geometry-optimized Li2TePb structure.

Structure (extended XYZ):
```
4
Lattice="-3.1654 1.5699 1.8873 -1.2506 -4.3077 1.4858 2.6119 0.5849 3.8941" Properties=species:S:1:pos:R:3 pbc="T T T"
Li 1.3059 0.2924 1.9471
Pb -0.9020 -1.0765 3.6336
Te -1.5827 0.7850 0.9436
Li -0.6253 -2.1539 0.7429
```

M_tot in μB per cell: 0.00
Formation energy from raw total energies in meV per atom: -505
Mass density in Mg/m³: 6.5
Volume in A^3/atom: 22.36

---

# 22
## LiVBO4 (GGA-PBEsol)

Data for a geometry-optimized LiVBO4 structure.

Structure (extended XYZ):
```
7
Lattice="-1.7274 3.7978 1.7780 -3.0425 -3.3289 -1.6297 -2.3044 -2.4663 3.0292" Properties=species:S:1:pos:R:3 pbc="T T T"
B -2.5292 -1.3316 0.3870
Li -2.0159 0.6658 2.4036
O -3.9224 -0.9948 0.7359
O -1.6888 -0.1344 0.5794
O -4.7334 -4.2271 2.0083
V 0.0000 0.0000 0.0000
O -3.8039 1.3616 3.0315
```

M_tot in μB per cell: 1.00
Formation energy from raw total energies in meV per atom: -2301
Mass density in Mg/m³: 3.0
Volume in A^3/atom: 10.48

---

# 23
## RbGaB2O (GGA-PBEsol)

Data for a geometry-optimized RbGaB2O structure.

Structure (extended XYZ):
```
5
Lattice="4.3101 0.0000 0.0000 0.0000 5.0771 0.0000 0.0000 0.0000 5.0771" Properties=species:S:1:pos:R:3 pbc="T T T"
Rb 0.0000 0.0000 0.0000
Ga 2.1550 2.5386 2.5386
B 0.0000 0.0000 2.5386
O 2.1550 0.0000 0.0000
B 0.0000 2.5386 0.0000
```

M_tot in μB per cell: 0.22
Formation energy from raw total energies in meV per atom: 2434
Mass density in Mg/m³: 2.9
Volume in A^3/atom: 22.22

---

# 24
## BaGaSn (GGA-PBEsol)

Data for a geometry-optimized BaGaSn structure.

Structure (extended XYZ):
```
6
Lattice="4.5316 0.0000 0.0000 -2.2658 3.9245 0.0000 0.0000 0.0000 10.5067" Properties=species:S:1:pos:R:3 pbc="T T T"
Sn 2.2658 1.3082 5.8365
Sn 0.0000 2.6163 4.6702
Ga 0.0000 2.6163 0.0479
Ga 2.2658 1.3082 10.4588
Ba 0.0000 0.0000 8.0866
Ba 0.0000 0.0000 2.4201
```

M_tot in μB per cell: 0.00
Mass density in Mg/m³: 5.8
Formation energy from the elements in kcal/mol of atoms: -12.36
Volume in A^3/atom: 31.14

---

# 25
## B2TeRh2 (GGA-PBEsol)

Data for a geometry-optimized B2TeRh2 structure.

Structure (extended XYZ):
```
5
Lattice="3.0110 0.0000 0.0000 0.0000 3.0110 0.0000 -1.5055 -1.5055 7.2082" Properties=species:S:1:pos:R:3 pbc="T T T"
Rh 1.5055 1.5055 2.1207
B 1.5055 0.0000 3.6041
Rh 0.0000 0.0000 5.0875
Te 0.0000 0.0000 0.0000
B 0.0000 1.5055 3.6041
```

M_tot in μB per cell: 0.00
Formation energy from raw total energies in meV per atom: -135
Mass density in Mg/m³: 9.0
Volume in A^3/atom: 13.07

---

# 26
## Li2Cu (GGA-PBEsol)

Data for a geometry-optimized Li2Cu structure.

Structure (extended XYZ):
```
12
Lattice="3.8063 0.0000 0.0000 0.0000 5.3708 0.0000 0.0000 0.0000 8.0487" Properties=species:S:1:pos:R:3 pbc="T T T"
Li 0.9516 0.7076 0.7213
Cu 2.8548 4.7890 4.5541
Li 0.9516 3.4245 5.9849
Li 0.9516 0.7390 6.0882
Li 2.8548 4.6632 7.3274
Cu 2.8548 2.1035 7.5189
Cu 0.9516 3.2673 0.5298
Li 2.8548 1.9778 4.7456
Li 2.8548 1.9464 2.0638
Li 0.9516 3.3930 3.3030
Li 2.8548 4.6318 1.9605
Cu 0.9516 0.5819 3.4946
```

M_tot in μB per cell: 0.00
Mass density in Mg/m³: 3.1
Formation energy from the elements in kcal/mol of atoms: 0.93
Volume in A^3/atom: 13.71

---

# 27
## K2Li (GGA-PBEsol)

Data for a geometry-optimized K2Li structure.

Structure (extended XYZ):
```
9
Lattice="4.3908 0.0000 0.0000 0.0000 11.1338 0.0000 0.0000 -5.5669 9.6422" Properties=species:S:1:pos:R:3 pbc="T T T"
K 2.1954 6.8269 0.0000
K 0.0000 3.0693 0.0000
K 0.0000 4.0322 6.9840
Li 0.0000 0.0000 6.4281
Li 0.0000 5.5669 3.2141
Li 2.1954 0.0000 0.0000
K 2.1954 2.1535 3.7299
K 0.0000 -1.5347 2.6581
K 2.1954 -3.4134 5.9123
```

M_tot in μB per cell: 0.00
Mass density in Mg/m³: 0.9
Formation energy from the elements in kcal/mol of atoms: 2.80
Volume in A^3/atom: 52.37